# Sc3In5Se12 PBE optimized geometry
# Energy   -361.370 eV/cell
data_Sc3In5Se12
_chemical_formula_sum 'Sc12 In20 Se48'
_space_group_name_H-M_alt 'P 1'
_space_group_IT_number 1
_cell_length_a 14.045
_cell_length_b 14.045
_cell_length_c 14.045
_cell_angle_alpha 109.47
_cell_angle_beta 109.47
_cell_angle_gamma 109.47
loop_
_space_group_symop_operation_xyz
'x,y,z'
loop_
_atom_site_label
_atom_site_fract_x
_atom_site_fract_y
_atom_site_fract_z
Sc1 0.125 0.250 0.375
Sc2 0.125 0.375 0.750
Sc3 0.250 0.375 0.125
Sc4 0.250 0.875 0.625
Sc5 0.375 0.125 0.250
Sc6 0.375 0.750 0.125
Sc7 0.625 0.250 0.875
Sc8 0.625 0.875 0.750
Sc9 0.750 0.125 0.375
Sc10 0.750 0.625 0.875
Sc11 0.875 0.625 0.250
Sc12 0.875 0.750 0.625
In1 0.000 0.000 0.000
In2 0.000 0.000 0.500
In3 0.000 0.500 0.000
In4 0.000 0.500 0.500
In5 0.125 0.750 0.875
In6 0.125 0.875 0.250
In7 0.250 0.125 0.875
In8 0.250 0.625 0.375
In9 0.375 0.250 0.625
In10 0.375 0.625 0.750
In11 0.500 0.000 0.000
In12 0.500 0.000 0.500
In13 0.500 0.500 0.000
In14 0.500 0.500 0.500
In15 0.625 0.375 0.250
In16 0.625 0.750 0.375
In17 0.750 0.375 0.625
In18 0.750 0.875 0.125
In19 0.875 0.125 0.750
In20 0.875 0.250 0.125
Se1 0.050 0.223 0.135
Se2 0.050 0.328 0.916
Se3 0.084 0.635 0.412
Se4 0.084 0.950 0.672
Se5 0.088 0.723 0.672
Se6 0.088 0.865 0.416
Se7 0.135 0.050 0.223
Se8 0.135 0.584 0.912
Se9 0.172 0.223 0.588
Se10 0.172 0.450 0.584
Se11 0.223 0.135 0.050
Se12 0.223 0.588 0.172
Se13 0.277 0.328 0.912
Se14 0.277 0.450 0.365
Se15 0.328 0.912 0.277
Se16 0.328 0.916 0.050
Se17 0.365 0.277 0.450
Se18 0.365 0.588 0.916
Se19 0.412 0.084 0.635
Se20 0.412 0.828 0.777
Se21 0.416 0.088 0.865
Se22 0.416 0.828 0.550
Se23 0.450 0.365 0.277
Se24 0.450 0.584 0.172
Se25 0.550 0.416 0.828
Se26 0.550 0.635 0.723
Se27 0.584 0.172 0.450
Se28 0.584 0.912 0.135
Se29 0.588 0.172 0.223
Se30 0.588 0.916 0.365
Se31 0.635 0.412 0.084
Se32 0.635 0.723 0.550
Se33 0.672 0.084 0.950
Se34 0.672 0.088 0.723
Se35 0.723 0.550 0.635
Se36 0.723 0.672 0.088
Se37 0.777 0.412 0.828
Se38 0.777 0.865 0.950
Se39 0.828 0.550 0.416
Se40 0.828 0.777 0.412
Se41 0.865 0.416 0.088
Se42 0.865 0.950 0.777
Se43 0.912 0.135 0.584
Se44 0.912 0.277 0.328
Se45 0.916 0.050 0.328
Se46 0.916 0.365 0.588
Se47 0.950 0.672 0.084
Se48 0.950 0.777 0.865

# SrY2Ir PBE optimized geometry
# Offset from the most stable computed form   48.3 meV/atom
# E_form   -0.35 eV per atom
# Energy   -24.879 eV/cell
data_SrY2Ir
_chemical_formula_sum 'Sr1 Y2 Ir1'
_space_group_name_H-M_alt 'P 1'
_space_group_IT_number 1
_cell_length_a 3.554
_cell_length_b 3.560
_cell_length_c 9.701
_cell_angle_alpha 90.00
_cell_angle_beta 90.10
_cell_angle_gamma 90.00
loop_
_space_group_symop_operation_xyz
'x,y,z'
loop_
_atom_site_label
_atom_site_fract_x
_atom_site_fract_y
_atom_site_fract_z
Sr1 0.000 0.000 0.000
Y1 0.499 0.500 0.337
Y2 0.501 0.500 0.663
Ir1 0.000 0.000 0.500

# Rb2CePmTe4 PBE optimized geometry
# Energy   -36.162 eV/cell
data_Rb2CePmTe4
_chemical_formula_sum 'Rb2 Ce1 Pm1 Te4'
_space_group_name_H-M_alt 'P 1'
_space_group_IT_number 1
_cell_length_a 8.071
_cell_length_b 4.662
_cell_length_c 8.960
_cell_angle_alpha 90.00
_cell_angle_beta 107.47
_cell_angle_gamma 90.00
loop_
_space_group_symop_operation_xyz
'x,y,z'
loop_
_atom_site_label
_atom_site_fract_x
_atom_site_fract_y
_atom_site_fract_z
Rb1 0.000 0.000 0.000
Rb2 0.500 0.500 0.000
Ce1 0.000 0.500 0.500
Pm1 0.500 0.000 0.500
Te1 0.237 0.000 0.704
Te2 0.268 0.500 0.296
Te3 0.732 0.500 0.704
Te4 0.763 0.000 0.296

Number 1: theoretical density 5159 kg/m3. Number 2: theoretical density 6191 kg/m3. Number 3: theoretical density 4990 kg/m3.